Material: K3In8Pb3
Method: DFT, GGA-PBE
State: relaxed

Output
The space group is Immm, No. 71. Its crystal system is orthorhombic. As for the total magnetization: 0.00 μB per cell. Its total DFT energy (no corrections) is -2.71 eV per atom.

a = 5.1322 Å, b = 9.8363 Å, c = 9.8363 Å
α = 71.84°, β = 74.88°, γ = 74.88°
Closest atoms and distances in Å follow each position.
Sites, in units of the cell vectors:
1 In 0.6506 0.6210 0.0777  3 In 3.03-3.06
2 In 0.3494 0.9223 0.3790  3 In 3.03-3.06
3 In 0.8359 0.7916 0.5366  4 In 2.94-3.06, 1 Pb 3.16
4 In 0.8359 0.5366 0.7916  4 In 2.94-3.06, 1 Pb 3.16
5 In 0.1641 0.4634 0.2084  4 In 2.94-3.06, 1 Pb 3.16
6 In 0.1641 0.2084 0.4634  4 In 2.94-3.06, 1 Pb 3.16
7 In 0.3494 0.3790 0.9223  3 In 3.03-3.06
8 In 0.6506 0.0777 0.6210  3 In 3.03-3.06
9 K 0.1931 0.8069 0.8069  10 In 3.66-3.92, 4 Pb 3.73-3.88
10 K 0.5000 0.5000 0.5000  12 In 3.86-3.87, 4 Pb 4.29
11 K 0.8069 0.1931 0.1931  10 In 3.66-3.92, 4 Pb 3.73-3.88
12 Pb 0.0000 0.7983 0.2017  6 In 3.16-3.44, 2 Pb 3.46
13 Pb 0.0000 0.2017 0.7983  6 In 3.16-3.44, 2 Pb 3.46
14 Pb 0.5000 0.0000 0.0000  4 Pb 3.46, 4 In 3.48

***

Material: K2InPb
Method: DFT, GGA-PBE
State: relaxed

Output
The space group is Pm, No. 6. Its crystal system is monoclinic. As for the total magnetization: 0.00 μB per cell. The calculation puts the polymorph energy (0 for the lowest one) at 55 meV/atom.

a = 5.3881 Å, b = 3.7748 Å, c = 7.3792 Å
α = 76.99°, β = 90.00°, γ = 90.00°
Closest atoms and distances in Å follow each position.
Sites, in units of the cell vectors:
1 K 0.0000 0.9780 0.9536  4 In 3.60-3.62, 3 Pb 3.74-3.97, 4 K 3.77-4.01
2 K 0.5000 0.2732 0.2940  4 Pb 3.61-3.63, 3 In 3.77-3.94, 4 K 3.77-4.01
3 In 0.5000 0.5736 0.7475  2 Pb 3.21
4 Pb 0.0000 0.6751 0.5049  2 In 3.21

***

Material: KIn2Pb2
Method: DFT, GGA-PBE
State: relaxed

Output
The space group is P4/mbm, No. 127. Its crystal system is tetragonal. As for the total magnetization: 0.00 μB per cell. The calculation puts the polymorph energy (0 for the lowest one) at 53 meV/atom.

a = 9.4765 Å, b = 9.4765 Å, c = 3.6030 Å
α = 90.00°, β = 90.00°, γ = 90.00°
Closest atoms and distances in Å follow each position.
Sites, in units of the cell vectors:
1 K 0.0000 0.0000 0.0000  2 K 3.60, 4 In 3.71, 8 Pb 3.99
2 K 0.5000 0.5000 0.0000  2 K 3.60, 4 In 3.71, 8 Pb 3.99
3 In 0.8685 0.6315 0.0000  6 Pb 3.30-3.33, 3 In 3.52-3.60
4 In 0.6315 0.1315 0.0000  6 Pb 3.30-3.33, 3 In 3.52-3.60
5 In 0.3685 0.8685 0.0000  6 Pb 3.30-3.33, 3 In 3.52-3.60
6 In 0.1315 0.3685 0.0000  6 Pb 3.30-3.33, 3 In 3.52-3.60
7 Pb 0.8407 0.3407 0.5000  6 In 3.30-3.33, 2 Pb 3.60
8 Pb 0.3407 0.1593 0.5000  6 In 3.30-3.33, 2 Pb 3.60
9 Pb 0.6593 0.8407 0.5000  6 In 3.30-3.33, 2 Pb 3.60
10 Pb 0.1593 0.6593 0.5000  6 In 3.30-3.33, 2 Pb 3.60

***

Material: K3In4Pb2
Method: DFT, GGA-PBE
State: relaxed

Output
The space group is P-1, No. 2. Its crystal system is triclinic. As for the total magnetization: 0.00 μB per cell. Its total DFT energy (no corrections) is -2.50 eV per atom.

a = 5.3322 Å, b = 7.1778 Å, c = 10.0494 Å
α = 68.14°, β = 74.41°, γ = 68.23°
Closest atoms and distances in Å follow each position.
Sites, in units of the cell vectors:
1 In 0.3068 0.3421 0.0451  3 Pb 3.14-3.32, 3 In 3.34-3.35
2 In 0.6932 0.6579 0.9549  3 Pb 3.14-3.32, 3 In 3.34-3.35
3 In 0.9106 0.5239 0.6489  2 In 3.00-3.34, 2 Pb 3.17
4 In 0.0894 0.4761 0.3511  2 In 3.00-3.34, 2 Pb 3.17
5 K 0.3962 0.8559 0.3550  3 Pb 3.61-3.88, 4 In 3.68-4.02
6 K 0.6038 0.1441 0.6450  3 Pb 3.61-3.88, 4 In 3.68-4.02
7 K 0.0000 0.0000 0.0000  2 Pb 3.61, 4 In 3.62
8 Pb 0.2743 0.7000 0.7460  5 In 3.14-3.32
9 Pb 0.7257 0.3000 0.2540  5 In 3.14-3.32